Entry 1:
6
Lattice="-3.856 1.197 -1.055 -0.579 -3.622 -1.991 -2.004 -2.281 4.735" Properties=species:S:1:pos:R:3 comment="PBE-GGA NdGa2Tc2C, optimized geometry" crystal_system=tetragonal dos_ef_per_ev_cell=3.70 energy_ev_per_cell=-43.14 pbc="T T T"
Tc -1.928 0.598 -0.528
Tc -0.290 -1.811 -0.995
Nd -1.002 -1.141 2.368
C 0.000 0.000 0.000
Ga -2.774 -1.846 -0.209
Ga -3.666 -2.861 1.899


Entry 2:
4
Lattice="3.796 0.000 0.000 1.898 3.287 0.000 1.898 1.096 6.721" Properties=species:S:1:pos:R:3 comment="PBE-GGA Pm2HS, optimized geometry" crystal_system=trigonal e_above_lowest_polymorph_ev_per_atom=0.129 dos_ef_per_ev_cell=3.32 energy_ev_per_cell=-21.02 pbc="T T T"
Pm 1.898 1.096 1.620
Pm 1.898 1.096 4.976
H 3.796 2.191 3.550
S 5.693 3.287 6.658


Entry 3:
10
Lattice="-1.146 6.230 -1.438 -2.303 4.402 6.236 6.383 4.725 0.712" Properties=species:S:1:pos:R:3 comment="PBE-GGA La5SnTe4, optimized geometry" crystal_system=tetragonal dos_ef_per_ev_cell=6.43 formation_energy_uncorrected_ev_per_atom=-1.468 energy_ev_per_cell=-55.88 pbc="T T T"
La -0.575 3.127 -0.722
La 1.258 7.122 0.489
La 1.674 8.245 5.020
La -0.258 4.215 3.772
La 3.190 11.152 1.736
Te 1.857 4.025 1.261
Te 3.708 8.034 2.484
Te -0.776 7.333 3.024
Te 1.075 11.343 4.248
Sn -0.002 0.012 -0.003


Entry 4:
20
Lattice="-0.265 -2.981 -1.861 12.284 -2.493 2.242 -11.417 -5.103 9.805" Properties=species:S:1:pos:R:3 comment="PBE-GGA Ho3Er6Tl, optimized geometry" crystal_system=monoclinic e_above_lowest_polymorph_ev_per_atom=0.000 dos_ef_per_ev_cell=28.18 energy_ev_per_cell=-87.13 pbc="T T T"
Er 2.438 -8.091 7.609
Er 4.431 -5.459 3.108
Er -3.829 -5.119 7.079
Er -1.836 -2.487 2.578
Er -1.001 -7.350 6.913
Er -8.566 -5.677 8.650
Er -2.748 -6.883 9.751
Er 4.812 -5.615 6.640
Er 1.603 -3.227 3.273
Er 9.168 -4.900 1.537
Er -4.210 -4.963 3.547
Er 3.350 -3.695 0.436
Ho -5.682 -7.784 8.276
Ho -1.139 -4.267 5.330
Ho 6.283 -2.794 1.911
Ho 0.273 -3.019 -0.207
Ho 0.329 -7.558 10.394
Ho 1.741 -6.311 4.857
Tl -6.688 -6.083 5.694
Tl 7.290 -4.495 4.493